First-principles (PBE) data for crystalline La2Cr2P at its relaxed geometry, as listed in Alexandria.

Cell: 6.616 6.616 4.542 Å, 90.00 90.00 90.00°
Space group P4/mbm (No. 127)
Symmetry-distinct sites (fractional):
1 La 0.193 0.307 0.000
2 Cr 0.107 0.607 0.500
3 P 0.000 0.000 0.500

Computed properties:
* DOS(E_F): 12.605 states/eV per cell
* ΔH_f (0 K): 0.085 eV/f.u.
* calculated volume: 19.883 Å³/atom
* final energy: -6.885 eV per atom
* excess energy over the best structure of this formula in the dataset: 0 meV/atom



First-principles (PBE) data for crystalline LaCr2P at its relaxed geometry, as listed in Alexandria.

Cell: 3.097 3.097 6.946 Å, 90.00 90.00 90.00°
Space group P4mm (No. 99)
Symmetry-distinct sites (fractional):
1 La 0.000 0.000 0.000
2 Cr 0.000 0.000 0.492
3 Cr 0.500 0.500 0.668
4 P 0.500 0.500 0.321

Computed properties:
* DOS(E_F): 2.491 states/eV per cell
* ΔH_f (0 K): -0.248 eV/f.u.
* calculated volume: 16.659 Å³/atom
* final energy: -7.458 eV per atom



First-principles (PBE) data for crystalline LaCrP2 at its relaxed geometry, as listed in Alexandria.

Cell: 4.492 4.492 4.088 Å, 90.00 90.00 90.00°
Space group P4/mmm (No. 123)
Symmetry-distinct sites (fractional):
1 La 0.000 0.000 0.000
2 Cr 0.500 0.500 0.500
3 P 0.000 0.500 0.500

Computed properties:
* DOS(E_F): 3.103 states/eV per cell
* ΔH_f (0 K): -2.526 eV/f.u.
* calculated volume: 20.620 Å³/atom
* final energy: -6.974 eV per atom
* excess energy over the best structure of this formula in the dataset: 248 meV/atom



First-principles (PBE) data for crystalline LaCrP2 at its relaxed geometry, as listed in Alexandria.

Cell: 3.8922 3.8922 6.0338 Å, 90.00 90.00 120.00°
Space group P-6m2 (No. 187)
Symmetry-distinct sites (fractional):
1 La 0.0000 0.0000 0.0000
2 Cr 0.6667 0.3333 0.5000
3 P 0.3333 0.6667 0.3128

Computed properties:
* DOS(E_F): 2.032 states/eV per cell
* ΔH_f (0 K): -3.129 eV/f.u.
* calculated volume: 19.790 Å³/atom
* final energy: -7.125 eV per atom
* excess energy over the best structure of this formula in the dataset: 98 meV/atom



First-principles (PBE) data for crystalline LaCr2P at its relaxed geometry, as listed in Alexandria.

Cell: 4.0700 4.0700 15.9790 Å, 90.00 90.00 120.00°
Space group R-3m (No. 166, hexagonal axes)
Symmetry-distinct sites (fractional):
1 La 0.0000 0.0000 0.0000
2 Cr 0.0000 0.0000 0.1804
3 P 0.0000 0.0000 0.5000

Computed properties:
* DOS(E_F): 6.961 states/eV per cell
* ΔH_f (0 K): -1.108 eV/f.u.
* calculated volume: 19.103 Å³/atom
* final energy: -7.673 eV per atom



First-principles (PBE) data for crystalline LaCr2P at its relaxed geometry, as listed in Alexandria.

Cell: 4.379 4.379 16.779 Å, 90.00 90.00 90.00°
Space group I-42d (No. 122)
Symmetry-distinct sites (fractional):
1 La 0.000 0.000 0.000
2 Cr 0.047 0.750 0.625
3 P 0.000 0.000 0.500

Computed properties:
* DOS(E_F): 15.493 states/eV per cell
* ΔH_f (0 K): 0.121 eV/f.u.
* calculated volume: 20.109 Å³/atom
* final energy: -7.366 eV per atom



First-principles (PBE) data for crystalline La4CrP at its relaxed geometry, as listed in Alexandria.

Cell: 8.956 8.956 8.956 Å, 90.00 90.00 90.00°
Space group F-43m (No. 216)
Symmetry-distinct sites (fractional):
1 La 0.124 0.124 0.124
2 Cr 0.000 0.000 0.500
3 P 0.250 0.250 0.750

Computed properties:
* DOS(E_F): 37.881 states/eV per cell
* ΔH_f (0 K): 3.552 eV/f.u.
* calculated volume: 29.935 Å³/atom
* final energy: -5.199 eV per atom



First-principles (PBE) data for crystalline LaCrP3 at its relaxed geometry, as listed in Alexandria.

Cell: 4.557 4.557 4.557 Å, 90.00 90.00 90.00°
Space group Pm-3m (No. 221)
Symmetry-distinct sites (fractional):
1 La 0.000 0.000 0.000
2 Cr 0.500 0.500 0.500
3 P 0.000 0.500 0.500

Computed properties:
* DOS(E_F): 4.381 states/eV per cell
* ΔH_f (0 K): -2.187 eV/f.u.
* calculated volume: 18.931 Å³/atom
* final energy: -6.593 eV per atom
* excess energy over the best structure of this formula in the dataset: 0 meV/atom



First-principles (PBE) data for crystalline LaCrP2 at its relaxed geometry, as listed in Alexandria.

Cell: 6.766 6.766 6.766 Å, 90.00 90.00 90.00°
Space group F-43m (No. 216)
Symmetry-distinct sites (fractional):
1 La 0.000 0.000 0.000
2 Cr 0.250 0.250 0.750
3 P 0.000 0.000 0.500
4 P 0.250 0.250 0.250

Computed properties:
* DOS(E_F): 13.093 states/eV per cell
* ΔH_f (0 K): 0.381 eV/f.u.
* calculated volume: 19.360 Å³/atom
* final energy: -6.247 eV per atom
* excess energy over the best structure of this formula in the dataset: 975 meV/atom



First-principles (PBE) data for crystalline LaCrP2 at its relaxed geometry, as listed in Alexandria.

Cell: 4.854 4.854 14.468 Å, 90.00 90.00 90.00°
Space group I-42d (No. 122)
Symmetry-distinct sites (fractional):
1 La 0.000 0.000 0.000
2 Cr 0.000 0.000 0.500
3 P 0.003 0.250 0.625

Computed properties:
* DOS(E_F): 8.920 states/eV per cell
* ΔH_f (0 K): -2.363 eV/f.u.
* calculated volume: 21.305 Å³/atom
* final energy: -6.933 eV per atom
* excess energy over the best structure of this formula in the dataset: 289 meV/atom



First-principles (PBE) data for crystalline LaCr2P at its relaxed geometry, as listed in Alexandria.

Cell: 3.324 4.965 7.990 Å, 90.00 90.00 90.00°
Space group Cmmm (No. 65)
Symmetry-distinct sites (fractional):
1 La 0.000 0.000 0.000
2 Cr 0.000 0.500 0.314
3 P 0.000 0.000 0.500

Computed properties:
* DOS(E_F): 10.493 states/eV per cell
* ΔH_f (0 K): 1.632 eV/f.u.
* calculated volume: 16.484 Å³/atom
* final energy: -6.988 eV per atom



First-principles (PBE) data for crystalline La2Cr2P at its relaxed geometry, as listed in Alexandria.

Cell: 3.457 3.457 18.059 Å, 90.00 90.00 90.00°
Space group I4/mmm (No. 139)
Symmetry-distinct sites (fractional):
1 La 0.000 0.000 0.097
2 Cr 0.000 0.500 0.250
3 P 0.000 0.000 0.500

Computed properties:
* DOS(E_F): 12.231 states/eV per cell
* ΔH_f (0 K): 0.120 eV/f.u.
* calculated volume: 21.587 Å³/atom
* final energy: -6.878 eV per atom
* excess energy over the best structure of this formula in the dataset: 7 meV/atom



First-principles (PBE) data for crystalline LaCr2P at its relaxed geometry, as listed in Alexandria.

Cell: 5.875 9.651 4.159 Å, 90.00 134.68 90.00°
Space group C2/m (No. 12)
Symmetry-distinct sites (fractional):
1 La 0.000 0.000 0.000
2 Cr 0.250 0.250 0.500
3 P 0.000 0.500 0.000

Computed properties:
* DOS(E_F): 6.667 states/eV per cell
* ΔH_f (0 K): 1.536 eV/f.u.
* calculated volume: 20.961 Å³/atom
* final energy: -7.012 eV per atom



First-principles (PBE) data for crystalline LaCrP2 at its relaxed geometry, as listed in Alexandria.

Cell: 6.272 6.998 3.664 Å, 90.00 90.00 90.00°
Space group Cmmm (No. 65)
Symmetry-distinct sites (fractional):
1 La 0.000 0.000 0.000
2 Cr 0.000 0.500 0.000
3 P 0.250 0.250 0.500

Computed properties:
* DOS(E_F): 4.629 states/eV per cell
* ΔH_f (0 K): -1.329 eV/f.u.
* calculated volume: 20.101 Å³/atom
* final energy: -6.675 eV per atom
* excess energy over the best structure of this formula in the dataset: 548 meV/atom



First-principles (PBE) data for crystalline LaCr3P at its relaxed geometry, as listed in Alexandria.

Cell: 4.501 4.501 4.501 Å, 90.00 90.00 90.00°
Space group Pm-3m (No. 221)
Symmetry-distinct sites (fractional):
1 La 0.000 0.000 0.000
2 Cr 0.000 0.000 0.500
3 P 0.500 0.500 0.500

Computed properties:
* DOS(E_F): 22.246 states/eV per cell
* ΔH_f (0 K): 11.408 eV/f.u.
* calculated volume: 18.242 Å³/atom
* final energy: -5.560 eV per atom
* excess energy over the best structure of this formula in the dataset: 2043 meV/atom



First-principles (PBE) data for crystalline La2CrP2 at its relaxed geometry, as listed in Alexandria.

Cell: 6.623 6.623 4.616 Å, 90.00 90.00 90.00°
Space group P4/mbm (No. 127)
Symmetry-distinct sites (fractional):
1 La 0.179 0.321 0.000
2 Cr 0.000 0.000 0.500
3 P 0.135 0.635 0.500

Computed properties:
* DOS(E_F): 9.157 states/eV per cell
* ΔH_f (0 K): -3.265 eV/f.u.
* calculated volume: 20.249 Å³/atom
* final energy: -6.713 eV per atom



First-principles (PBE) data for crystalline LaCr2P at its relaxed geometry, as listed in Alexandria.

Cell: 3.456 3.895 5.968 Å, 90.00 98.25 90.00°
Space group Pm (No. 6)
Symmetry-distinct sites (fractional):
1 La 0.000 0.000 0.000
2 Cr 0.129 0.500 0.523
3 Cr 0.607 0.000 0.493
4 P 0.559 0.500 0.239

Computed properties:
* DOS(E_F): 2.340 states/eV per cell
* ΔH_f (0 K): -0.956 eV/f.u.
* calculated volume: 19.879 Å³/atom
* final energy: -7.635 eV per atom



First-principles (PBE) data for crystalline La2Cr2P at its relaxed geometry, as listed in Alexandria.

Cell: 5.726 5.726 7.156 Å, 90.00 90.00 90.00°
Space group I4/mmm (No. 139)
Symmetry-distinct sites (fractional):
1 La 0.000 0.500 0.250
2 Cr 0.000 0.000 0.179
3 P 0.000 0.000 0.500

Computed properties:
* DOS(E_F): 14.310 states/eV per cell
* ΔH_f (0 K): 1.501 eV/f.u.
* calculated volume: 23.462 Å³/atom
* final energy: -6.602 eV per atom
* excess energy over the best structure of this formula in the dataset: 283 meV/atom



First-principles (PBE) data for crystalline LaCr3P at its relaxed geometry, as listed in Alexandria.

Cell: 4.489 4.489 4.489 Å, 90.00 90.00 90.00°
Space group Pm-3m (No. 221)
Symmetry-distinct sites (fractional):
1 La 0.000 0.000 0.000
2 Cr 0.000 0.500 0.500
3 P 0.500 0.500 0.500

Computed properties:
* DOS(E_F): 4.849 states/eV per cell
* ΔH_f (0 K): 1.193 eV/f.u.
* calculated volume: 18.095 Å³/atom
* final energy: -7.603 eV per atom
* excess energy over the best structure of this formula in the dataset: 0 meV/atom



First-principles (PBE) data for crystalline LaCrP3 at its relaxed geometry, as listed in Alexandria.

Cell: 5.370 5.370 5.370 Å, 90.00 90.00 90.00°
Space group Pm-3m (No. 221)
Symmetry-distinct sites (fractional):
1 La 0.000 0.000 0.000
2 Cr 0.500 0.500 0.500
3 P 0.000 0.000 0.500

Computed properties:
* DOS(E_F): 7.176 states/eV per cell
* ΔH_f (0 K): 5.729 eV/f.u.
* calculated volume: 30.964 Å³/atom
* final energy: -5.010 eV per atom
* excess energy over the best structure of this formula in the dataset: 1583 meV/atom